No. 1
# Al2CoBr, optimized geometry, DFT PBE
# **Total DFT energy (no corrections)**: -4.10 eV/atom
# **Energy relative to the lowest polymorph listed for this composition**: 0.180 eV per atom
data_Al2CoBr
_cell_length_a 4.248
_cell_length_b 3.772
_cell_length_c 5.587
_cell_angle_alpha 90.00
_cell_angle_beta 91.06
_cell_angle_gamma 90.00
_space_group_name_H-M_alt 'P 1 m 1'
_space_group_IT_number 6
loop_
_space_group_symop_operation_xyz
'x,y,z'
'x,-y,z'
loop_
_atom_site_label
_atom_site_fract_x
_atom_site_fract_y
_atom_site_fract_z
Al1 0.000 0.000 0.000
Al2 0.498 0.500 0.911
Co1 0.994 0.500 0.761
Br1 0.985 0.000 0.456


No. 2
# CaAlGa2Pd4, optimized geometry, DFT PBE
# **Formation energy from the elements**: -0.73 eV per atom
# **Total DFT energy (no corrections)**: -4.80 eV/atom
data_CaAlGa2Pd4
_cell_length_a 4.3609
_cell_length_b 4.3609
_cell_length_c 25.1772
_cell_angle_alpha 90.00
_cell_angle_beta 90.00
_cell_angle_gamma 120.00
_space_group_name_H-M_alt 'R -3 m'
_space_group_IT_number 166
_space_group_name_Hall '-R 3 2"'
loop_
_atom_site_label
_atom_site_fract_x
_atom_site_fract_y
_atom_site_fract_z
Ca1 0.0000 0.0000 0.0000
Al1 0.0000 0.0000 0.5000
Ga1 0.0000 0.0000 0.2453
Pd1 0.0000 0.0000 0.1338
Pd2 0.0000 0.0000 0.4029


No. 3
# CuAg2Rh, optimized geometry, DFT PBE
# **Formation energy from the elements**: 0.19 eV per atom
# **Total DFT energy (no corrections)**: -4.10 eV/atom
# **Energy relative to the lowest polymorph listed for this composition**: 0.044 eV per atom
data_CuAg2Rh
_cell_length_a 2.900
_cell_length_b 4.660
_cell_length_c 9.320
_cell_angle_alpha 90.00
_cell_angle_beta 90.00
_cell_angle_gamma 90.00
_space_group_name_H-M_alt 'C m m 2'
_space_group_IT_number 35
loop_
_space_group_symop_operation_xyz
'x,y,z'
'-x,-y,z'
'-x,y,z'
'x,-y,z'
'x+1/2,y+1/2,z'
'-x+1/2,-y+1/2,z'
'-x+1/2,y+1/2,z'
'x+1/2,-y+1/2,z'
loop_
_atom_site_label
_atom_site_fract_x
_atom_site_fract_y
_atom_site_fract_z
Cu1 0.000 0.000 0.000
Ag1 0.000 0.000 0.486
Ag2 0.000 0.500 0.757
Rh1 0.000 0.500 0.226


No. 4
# MgB2AuBr, optimized geometry, DFT PBE
# **Total DFT energy (no corrections)**: -2.20 eV/atom
data_MgB2AuBr
_cell_length_a 4.125
_cell_length_b 4.125
_cell_length_c 6.103
_cell_angle_alpha 90.00
_cell_angle_beta 90.00
_cell_angle_gamma 90.00
_space_group_name_H-M_alt 'P 4/m m m'
_space_group_IT_number 123
_space_group_name_Hall '-P 4 2'
loop_
_atom_site_label
_atom_site_fract_x
_atom_site_fract_y
_atom_site_fract_z
Mg1 0.000 0.000 0.000
B1 0.000 0.500 0.500
Au1 0.500 0.500 0.000
Br1 0.500 0.500 0.500


No. 5
# YTm6In6, optimized geometry, DFT PBE
# **Formation energy from the elements**: -0.29 eV per atom
# **Total DFT energy (no corrections)**: -4.12 eV/atom
data_YTm6In6
_cell_length_a 6.1954
_cell_length_b 6.1954
_cell_length_c 10.6334
_cell_angle_alpha 90.00
_cell_angle_beta 90.00
_cell_angle_gamma 120.00
_space_group_name_H-M_alt 'P 6/m m m'
_space_group_IT_number 191
_space_group_name_Hall '-P 6 2'
loop_
_atom_site_label
_atom_site_fract_x
_atom_site_fract_y
_atom_site_fract_z
Y1 0.0000 0.0000 0.0000
Tm1 0.0000 0.0000 0.3420
Tm2 0.3333 0.6667 0.0000
Tm3 0.3333 0.6667 0.5000
In1 0.0000 0.5000 0.2454


No. 6
# Nb3AuN, optimized geometry, DFT PBE
# **Total DFT energy (no corrections)**: -8.56 eV/atom
data_Nb3AuN
_cell_length_a 3.4742
_cell_length_b 3.4742
_cell_length_c 16.8303
_cell_angle_alpha 90.00
_cell_angle_beta 90.00
_cell_angle_gamma 120.00
_space_group_name_H-M_alt 'P 63/m m c'
_space_group_IT_number 194
_space_group_name_Hall '-P 6c 2c'
loop_
_atom_site_label
_atom_site_fract_x
_atom_site_fract_y
_atom_site_fract_z
Nb1 0.0000 0.0000 0.2500
Nb2 0.3333 0.6667 0.1230
Au1 0.0000 0.0000 0.0000
N1 0.3333 0.6667 0.2500


> total DFT energy (no corrections) of number 4 (MgB2AuBr)?

-2.20 eV/atom


> Which formula does entry 3 have?

CuAg2Rh